GdHPd3: optimized geometry, GGA-PBE.

Values from the calculation:
raw total energy	-36.365	eV/f.u.
space-group type	Pm-3m

Lattice parameters (Å, degrees): 4.186 4.186 4.186 90.00 90.00 90.00
Each line ends with the local moment (μB).
Sites, in units of the cell vectors:
Pd 0.500 0.000 0.000  -0.02
Pd 0.000 0.500 0.000  -0.02
H 0.000 0.000 0.000  0.00
Gd 0.500 0.500 0.500  6.96
Pd 0.000 0.000 0.500  -0.02